Version w
DFT (GGA-PBEsol) results for a geometry-optimized ReTc3 structure.

Structure (CIF):
```
data_ReTc3
_cell_length_a 3.841
_cell_length_b 3.841
_cell_length_c 4.708
_cell_angle_alpha 114.08
_cell_angle_beta 114.08
_cell_angle_gamma 90.00
_space_group_name_H-M_alt 'P 1'
_space_group_IT_number 1
loop_
_space_group_symop_operation_xyz
'x,y,z'
loop_
_atom_site_label
_atom_site_type_symbol
_atom_site_fract_x
_atom_site_fract_y
_atom_site_fract_z
_atom_site_occupancy
Tc1 Tc 0.500 0.500 0.000 1
Tc2 Tc 0.250 0.750 0.500 1
Tc3 Tc 0.750 0.250 0.500 1
Re1 Re 0.000 0.000 0.000 1
```

Calculated values
Its space-group type is I4/mmm (139).


Version x
DFT (GGA-PBEsol) results for a geometry-optimized ReTc3 structure.

Structure (CIF):
```
data_ReTc3
_cell_length_a 2.728
_cell_length_b 2.728
_cell_length_c 8.763
_cell_angle_alpha 90.00
_cell_angle_beta 90.00
_cell_angle_gamma 120.00
_space_group_name_H-M_alt 'P 1'
_space_group_IT_number 1
loop_
_space_group_symop_operation_xyz
'x,y,z'
loop_
_atom_site_label
_atom_site_type_symbol
_atom_site_fract_x
_atom_site_fract_y
_atom_site_fract_z
_atom_site_occupancy
Re1 Re 0.000 0.000 0.000 1
Tc1 Tc 0.667 0.333 0.748 1
Tc2 Tc 0.667 0.333 0.252 1
Tc3 Tc 0.000 0.000 0.500 1
```

Calculated values
Its space-group type is P-6m2 (187).


Version y
DFT (GGA-PBEsol) results for a geometry-optimized ReTc3 structure.

Structure (CIF):
```
data_ReTc3
_cell_length_a 4.669
_cell_length_b 4.669
_cell_length_c 4.669
_cell_angle_alpha 90.00
_cell_angle_beta 90.00
_cell_angle_gamma 90.00
_space_group_name_H-M_alt 'P 1'
_space_group_IT_number 1
loop_
_space_group_symop_operation_xyz
'x,y,z'
loop_
_atom_site_label
_atom_site_type_symbol
_atom_site_fract_x
_atom_site_fract_y
_atom_site_fract_z
_atom_site_occupancy
Tc1 Tc 0.000 0.500 0.000 1
Tc2 Tc 0.000 0.000 0.500 1
Tc3 Tc 0.500 0.000 0.000 1
Re1 Re 0.000 0.000 0.000 1
```

Calculated values
Its space-group type is Pm-3m (221).


Most stable structure: version x


Version w
DFT (GGA-PBEsol) results for a geometry-optimized ReTc3 structure.

Structure (CIF):
```
data_ReTc3
_cell_length_a 3.843
_cell_length_b 3.843
_cell_length_c 3.843
_cell_angle_alpha 90.00
_cell_angle_beta 90.00
_cell_angle_gamma 90.00
_space_group_name_H-M_alt 'P 1'
_space_group_IT_number 1
loop_
_space_group_symop_operation_xyz
'x,y,z'
loop_
_atom_site_label
_atom_site_type_symbol
_atom_site_fract_x
_atom_site_fract_y
_atom_site_fract_z
_atom_site_occupancy
Tc1 Tc 0.500 0.000 0.500 1
Re1 Re 0.000 0.000 0.000 1
Tc2 Tc 0.000 0.500 0.500 1
Tc3 Tc 0.500 0.500 0.000 1
```

Calculated values
Its space-group type is Pm-3m (221).


Version x
DFT (GGA-PBEsol) results for a geometry-optimized ReTc3 structure.

Structure (CIF):
```
data_ReTc3
_cell_length_a 2.727
_cell_length_b 4.381
_cell_length_c 4.730
_cell_angle_alpha 90.00
_cell_angle_beta 90.00
_cell_angle_gamma 90.00
_space_group_name_H-M_alt 'P 1'
_space_group_IT_number 1
loop_
_space_group_symop_operation_xyz
'x,y,z'
loop_
_atom_site_label
_atom_site_type_symbol
_atom_site_fract_x
_atom_site_fract_y
_atom_site_fract_z
_atom_site_occupancy
Tc1 Tc 0.000 0.500 0.334 1
Tc2 Tc 0.500 0.500 0.832 1
Tc3 Tc 0.500 0.000 0.499 1
Re1 Re 0.000 0.000 0.001 1
```

Calculated values
Its space-group type is Pmm2 (25).


Most stable structure: version x


Version w
DFT (GGA-PBEsol) results for a geometry-optimized ReTc3 structure.

Structure (CIF):
```
data_ReTc3
_cell_length_a 2.718
_cell_length_b 2.718
_cell_length_c 7.679
_cell_angle_alpha 90.00
_cell_angle_beta 90.00
_cell_angle_gamma 90.00
_space_group_name_H-M_alt 'P 1'
_space_group_IT_number 1
loop_
_space_group_symop_operation_xyz
'x,y,z'
loop_
_atom_site_label
_atom_site_type_symbol
_atom_site_fract_x
_atom_site_fract_y
_atom_site_fract_z
_atom_site_occupancy
Re1 Re 0.000 0.000 0.000 1
Tc1 Tc 0.000 0.000 0.500 1
Tc2 Tc 0.500 0.500 0.749 1
Tc3 Tc 0.500 0.500 0.251 1
```

Calculated values
Its space-group type is P4/mmm (123).


Version x
DFT (GGA-PBEsol) results for a geometry-optimized ReTc3 structure.

Structure (CIF):
```
data_ReTc3
_cell_length_a 4.725
_cell_length_b 5.453
_cell_length_c 8.766
_cell_angle_alpha 90.00
_cell_angle_beta 90.00
_cell_angle_gamma 90.00
_space_group_name_H-M_alt 'P 1'
_space_group_IT_number 1
loop_
_space_group_symop_operation_xyz
'x,y,z'
loop_
_atom_site_label
_atom_site_type_symbol
_atom_site_fract_x
_atom_site_fract_y
_atom_site_fract_z
_atom_site_occupancy
Tc1 Tc 0.751 0.125 0.997 1
Tc2 Tc 0.749 0.625 0.003 1
Re1 Re 0.083 0.625 0.750 1
Tc3 Tc 0.249 0.875 0.003 1
Re2 Re 0.417 0.125 0.250 1
Tc4 Tc 0.416 0.625 0.250 1
Tc5 Tc 0.584 0.375 0.750 1
Tc6 Tc 0.751 0.125 0.503 1
Re3 Re 0.917 0.375 0.250 1
Tc7 Tc 0.249 0.875 0.497 1
Tc8 Tc 0.251 0.375 0.503 1
Re4 Re 0.583 0.875 0.750 1
Tc9 Tc 0.084 0.125 0.750 1
Tc10 Tc 0.251 0.375 0.997 1
Tc11 Tc 0.749 0.625 0.497 1
Tc12 Tc 0.916 0.875 0.250 1
```

Calculated values
Its space-group type is Pnma (62).


Most stable structure: version x


Version w
DFT (GGA-PBEsol) results for a geometry-optimized TlReTc2 structure.

Structure (CIF):
```
data_TlReTc2
_cell_length_a 3.828
_cell_length_b 3.828
_cell_length_c 5.048
_cell_angle_alpha 112.28
_cell_angle_beta 112.28
_cell_angle_gamma 90.00
_space_group_name_H-M_alt 'P 1'
_space_group_IT_number 1
loop_
_space_group_symop_operation_xyz
'x,y,z'
loop_
_atom_site_label
_atom_site_type_symbol
_atom_site_fract_x
_atom_site_fract_y
_atom_site_fract_z
_atom_site_occupancy
Re1 Re 0.250 0.750 0.500 1
Tc1 Tc 0.750 0.250 0.500 1
Tl1 Tl 0.500 0.500 0.000 1
Tc2 Tc 0.000 0.000 0.000 1
```

Calculated values
Its space-group type is I-4m2 (119).


Version x
DFT (GGA-PBEsol) results for a geometry-optimized TlReTc2 structure.

Structure (CIF):
```
data_TlReTc2
_cell_length_a 2.882
_cell_length_b 4.790
_cell_length_c 4.790
_cell_angle_alpha 108.87
_cell_angle_beta 90.00
_cell_angle_gamma 90.00
_space_group_name_H-M_alt 'P 1'
_space_group_IT_number 1
loop_
_space_group_symop_operation_xyz
'x,y,z'
loop_
_atom_site_label
_atom_site_type_symbol
_atom_site_fract_x
_atom_site_fract_y
_atom_site_fract_z
_atom_site_occupancy
Re1 Re 0.500 0.500 0.500 1
Tc1 Tc 0.000 0.500 0.000 1
Tl1 Tl 0.500 0.000 0.000 1
Tc2 Tc 0.000 0.000 0.500 1
```

Calculated values
Its space-group type is Cmmm (65).


Most stable structure: version w